Computed, not measured: a relaxed structure of BaBiCl2 at the GGA-PBEsol level of DFT.

Structure (CIF):
```
data_BaBiCl2
_chemical_formula_sum 'Ba3 Bi3 Cl6'
_cell_length_a 4.2307
_cell_length_b 4.2307
_cell_length_c 33.3341
_cell_angle_alpha 90.00
_cell_angle_beta 90.00
_cell_angle_gamma 120.00
_symmetry_space_group_name_H-M 'R -3 m'
_symmetry_Int_Tables_number 166
_symmetry_space_group_name_Hall '-R 3 2"'
loop_
_atom_site_label
_atom_site_fract_x
_atom_site_fract_y
_atom_site_fract_z
Ba1 0.0000 0.0000 0.0000
Bi1 0.0000 0.0000 0.5000
Cl1 0.0000 0.0000 0.3846
```

## Properties
crystal system	trigonal
DFT total energy	-3.808	eV/atom
uncorrected formation energy	-1.20	eV/atom

=====

Computed, not measured: a relaxed structure of Mg2ZnNi at the GGA-PBEsol level of DFT.

Structure (CIF):
```
data_Mg2ZnNi
_chemical_formula_sum 'Mg2 Zn1 Ni1'
_cell_length_a 3.0164
_cell_length_b 3.0164
_cell_length_c 6.7100
_cell_angle_alpha 90.00
_cell_angle_beta 90.00
_cell_angle_gamma 90.00
_symmetry_space_group_name_H-M 'P 4/m m m'
_symmetry_Int_Tables_number 123
_symmetry_space_group_name_Hall '-P 4 2'
loop_
_atom_site_label
_atom_site_fract_x
_atom_site_fract_y
_atom_site_fract_z
Mg1 0.0000 0.0000 0.2249
Zn1 0.5000 0.5000 0.5000
Ni1 0.5000 0.5000 0.0000
```

## Properties
crystal system	tetragonal
energy of formation from the pure elements	-10	kJ per mole of atoms
DFT total energy	-2.898	eV/atom

=====

Computed, not measured: a relaxed structure of B84O11 at the GGA-PBEsol level of DFT.

Structure (CIF):
```
data_B84O11
_chemical_formula_sum 'B84 O11'
_cell_length_a 7.3622
_cell_length_b 8.7625
_cell_length_c 11.7486
_cell_angle_alpha 95.85
_cell_angle_beta 91.20
_cell_angle_gamma 112.26
_symmetry_space_group_name_H-M 'P 1'
_symmetry_Int_Tables_number 1
_symmetry_space_group_name_Hall 'P 1'
loop_
_atom_site_label
_atom_site_fract_x
_atom_site_fract_y
_atom_site_fract_z
B1 0.0000 0.0000 0.0000
B2 0.0018 0.7461 0.3393
B3 0.0067 0.5421 0.3406
B4 0.0093 0.2133 0.0063
B5 0.0521 0.9680 0.1474
B6 0.0614 0.3105 0.1521
B7 0.0622 0.3819 0.5457
B8 0.0805 0.8875 0.5441
B9 0.0900 0.1583 0.2354
B10 0.1005 0.6615 0.2281
B11 0.1128 0.0748 0.6274
B12 0.1181 0.7417 0.6292
B13 0.1549 0.0384 0.7686
B14 0.1573 0.4987 0.4303
B15 0.1606 0.2955 0.4347
B16 0.1641 0.8373 0.7730
B17 0.2038 0.2613 0.5768
B18 0.2048 0.5960 0.5754
B19 0.2058 0.6659 0.9775
B20 0.2150 0.1685 0.9700
B21 0.2353 0.4476 0.6616
B22 0.2435 0.0160 0.0532
B23 0.2527 0.3586 0.0579
B24 0.2704 0.9634 0.6561
B25 0.2946 0.1123 0.1989
B26 0.3034 0.7866 0.8652
B27 0.3046 0.3255 0.2043
B28 0.3059 0.5821 0.8662
B29 0.3432 0.9508 0.4104
B30 0.3483 0.8809 0.0077
B31 0.3513 0.5458 0.0068
B32 0.3702 0.4511 0.3852
B33 0.3790 0.7317 0.0933
B34 0.3884 0.2322 0.0865
B35 0.3942 0.3077 0.4804
B36 0.3941 0.6398 0.4784
B37 0.4356 0.0665 0.2952
B38 0.4394 0.6075 0.6214
B39 0.4405 0.8643 0.2992
B40 0.4417 0.4039 0.6238
B41 0.4843 0.1636 0.4392
B42 0.4856 0.8328 0.4428
B43 0.4880 0.2373 0.8307
B44 0.5105 0.0217 0.5351
B45 0.5121 0.7446 0.8270
B46 0.5359 0.5208 0.5106
B47 0.5420 0.9304 0.9122
B48 0.5460 0.5970 0.9114
B49 0.5715 0.1433 0.7123
B50 0.5814 0.3557 0.7176
B51 0.5843 0.8937 0.0528
B52 0.5906 0.6909 0.0542
B53 0.6070 0.5081 0.2672
B54 0.6269 0.1139 0.8592
B55 0.6315 0.4513 0.8618
B56 0.6445 0.0240 0.2584
B57 0.6600 0.3009 0.9473
B58 0.6740 0.2094 0.3430
B59 0.6746 0.8762 0.3464
B60 0.7000 0.8195 0.9408
B61 0.7147 0.6360 0.1529
B62 0.7187 0.1760 0.4841
B63 0.7209 0.4328 0.1538
B64 0.7229 0.9736 0.4909
B65 0.7610 0.7305 0.2957
B66 0.7656 0.3967 0.2947
B67 0.7808 0.8118 0.6956
B68 0.7878 0.3118 0.6813
B69 0.7991 0.5839 0.3795
B70 0.8173 0.0897 0.3740
B71 0.8166 0.1616 0.7652
B72 0.8226 0.4992 0.7676
B73 0.8650 0.4618 0.9083
B74 0.8670 0.2575 0.9096
B75 0.8725 0.9294 0.5818
B76 0.8781 0.7261 0.5848
B77 0.9166 0.0940 0.1190
B78 0.9200 0.0254 0.7245
B79 0.9243 0.6926 0.7273
B80 0.9265 0.5952 0.1132
B81 0.9478 0.8820 0.8187
B82 0.9543 0.7814 0.1990
B83 0.9578 0.4461 0.1985
B84 0.9628 0.3771 0.7972
O1 0.0287 0.1569 0.3538
O2 0.1309 0.8820 0.4244
O3 0.1763 0.4467 0.7805
O4 0.2790 0.1741 0.8525
O5 0.3147 0.7284 0.2124
O6 0.5675 0.7437 0.7074
O7 0.5989 0.2982 0.0663
O8 0.7064 0.0273 0.1400
O9 0.7490 0.5891 0.4995
O10 0.8503 0.3150 0.5639
O11 0.9915 0.5975 0.9944
```

## Properties
crystal system	triclinic
DFT total energy	-7.392	eV/atom
uncorrected formation energy	-0.58	eV/atom

=====

Computed, not measured: a relaxed structure of AgBBr3 at the GGA-PBEsol level of DFT.

Structure (CIF):
```
data_AgBBr3
_chemical_formula_sum 'Ag1 B1 Br3'
_cell_length_a 5.1566
_cell_length_b 5.1566
_cell_length_c 5.1566
_cell_angle_alpha 90.00
_cell_angle_beta 90.00
_cell_angle_gamma 90.00
_symmetry_space_group_name_H-M 'P m -3 m'
_symmetry_Int_Tables_number 221
_symmetry_space_group_name_Hall '-P 4 2 3'
loop_
_atom_site_label
_atom_site_fract_x
_atom_site_fract_y
_atom_site_fract_z
Ag1 0.0000 0.0000 0.0000
B1 0.5000 0.5000 0.5000
Br1 0.0000 0.0000 0.5000
```

## Properties
crystal system	cubic
DFT total energy	-2.318	eV/atom
uncorrected formation energy	0.87	eV/atom

=====

Computed, not measured: a relaxed structure of Zr2AlSe at the GGA-PBEsol level of DFT.

Structure (CIF):
```
data_Zr2AlSe
_chemical_formula_sum 'Zr6 Al3 Se3'
_cell_length_a 3.3428
_cell_length_b 3.3428
_cell_length_c 25.6628
_cell_angle_alpha 90.00
_cell_angle_beta 90.00
_cell_angle_gamma 120.00
_symmetry_space_group_name_H-M 'R 3 m'
_symmetry_Int_Tables_number 160
_symmetry_space_group_name_Hall 'R 3 -2"'
loop_
_atom_site_label
_atom_site_fract_x
_atom_site_fract_y
_atom_site_fract_z
Zr1 0.0000 0.0000 0.0000
Zr2 0.0000 0.0000 0.2390
Al1 0.0000 0.0000 0.7554
Se1 0.0000 0.0000 0.4977
```

## Properties
crystal system	trigonal
DFT total energy	-6.930	eV/atom
uncorrected formation energy	-0.40	eV/atom

=====

Computed, not measured: a relaxed structure of La2BrF at the GGA-PBEsol level of DFT.

Structure (CIF):
```
data_La2BrF
_chemical_formula_sum 'La8 Br4 F4'
_cell_length_a 7.5273
_cell_length_b 7.5273
_cell_length_c 6.9258
_cell_angle_alpha 90.00
_cell_angle_beta 90.00
_cell_angle_gamma 90.00
_symmetry_space_group_name_H-M 'I -4 2 d'
_symmetry_Int_Tables_number 122
_symmetry_space_group_name_Hall 'I -4 2bw'
loop_
_atom_site_label
_atom_site_fract_x
_atom_site_fract_y
_atom_site_fract_z
La1 0.1825 0.7500 0.1250
Br1 0.0000 0.0000 0.5000
F1 0.0000 0.0000 0.0000
```

## Properties
crystal system	tetragonal
DFT total energy	-5.254	eV/atom
uncorrected formation energy	-1.63	eV/atom

=====

| no. | magnetic moment (Bohr magnetons per cell) |
| --- | --- |
| 1 | 2.64 |
| 2 | 0.00 |
| 3 | 0.00 |
| 4 | 0.00 |
| 5 | 0.00 |
| 6 | 0.00 |